{
  "formula": "KSrTaSe4",
  "functional": "PBE",
  "state": "optimized geometry",
  "lattice_angstrom": [[-5.030, 5.190, 0.502], [-1.433, -2.049, 6.833], [8.005, 3.668, 2.778]],
  "species": ["Se", "Se", "Se", "Se", "Se", "Se", "Se", "Se", "Ta", "Ta", "Sr", "Sr", "K", "K"],
  "fractional_positions": [[0.406, 0.750, 0.575], [0.594, 0.250, 0.425], [0.998, 0.491, 0.265], [0.002, 0.991, 0.735], [0.579, 0.250, 0.852], [0.421, 0.750, 0.148], [0.002, 0.509, 0.735], [0.998, 0.009, 0.265], [0.218, 0.750, 0.313], [0.782, 0.250, 0.687], [0.227, 0.250, 0.550], [0.773, 0.750, 0.450], [0.268, 0.250, 0.066], [0.732, 0.750, 0.934]],
  "sg": "P2_1/m",
  "raw_formation_energy_ev_per_fu": -9.0
}